Material: CsNbZnCd2
Method: DFT, PBE-GGA
State: optimized geometry

Values from the calculation:
* symmetry: P4/mmm
* M_tot: 3.80 μB per cell
* formation energy: 13.3 kcal/mol of atoms

```
CsNbZnCd2
1.0
5.7330 0.0000 0.0000
0.0000 5.7330 0.0000
0.0000 0.0000 5.3960
Cs Nb Zn Cd
1 1 1 2
Cartesian
0.0000 0.0000 0.0000 Cs
2.8665 2.8665 2.6980 Nb
2.8665 2.8665 0.0000 Zn
0.0000 2.8665 2.6980 Cd
2.8665 0.0000 2.6980 Cd
```